Model one:
Here is a relaxed PmPr3Ni2 crystal from Alexandria. Energies are from PBE.

Lattice parameters (Å, degrees): 16.7105 4.0035 11.9132 90.00 124.15 90.00
Space group C2/m (No. 12)
Unique sites:
Pm: 0.1567 0.0000 0.2511 [4 per cell]
Pr: 0.0816 0.5000 0.9429 [4 per cell]
Pr: 0.0826 0.5000 0.4405 [4 per cell]
Pr: 0.1546 0.0000 0.7492 [4 per cell]
Ni: 0.2326 0.0000 0.0494 [4 per cell]
Ni: 0.2330 0.0000 0.5488 [4 per cell]

* volume: 27.48 Å³/atom

Model two:
Here is a relaxed PmPr3Ni2 crystal from Alexandria. Energies are from PBE.

Lattice parameters (Å, degrees): 16.8447 4.1670 11.9394 90.00 122.42 90.00
Space group C2/m (No. 12)
Unique sites:
Pm: 0.0618 0.0000 0.1871 [4 per cell]
Pr: 0.0606 0.5000 0.6886 [4 per cell]
Pr: 0.1871 0.0000 0.5614 [4 per cell]
Pr: 0.1883 0.5000 0.0646 [4 per cell]
Ni: 0.1239 0.0000 0.8767 [4 per cell]
Ni: 0.1256 0.5000 0.3711 [4 per cell]

* volume: 29.48 Å³/atom

Stability, descending: model one, model two

Model one:
Here is a relaxed PmPrNiPt crystal from Alexandria. Energies are from PBE.

Lattice parameters (Å, degrees): 7.1335 7.1335 7.1335 90.00 90.00 90.00
Space group F-43m (No. 216)
Unique sites:
Pm: 0.0000 0.0000 0.0000 [4 per cell]
Pr: 0.0000 0.0000 0.5000 [4 per cell]
Ni: 0.2500 0.2500 0.2500 [4 per cell]
Pt: 0.2500 0.2500 0.7500 [4 per cell]

* volume: 22.69 Å³/atom

Model two:
Here is a relaxed PmPrNiPt crystal from Alexandria. Energies are from PBE.

Lattice parameters (Å, degrees): 4.4522 3.9594 10.6267 90.00 90.00 90.00
Space group Amm2 (No. 38)
Unique sites:
Pm: 0.0000 0.0000 0.0000 [2 per cell]
Pr: 0.5000 0.0000 0.7216 [2 per cell]
Ni: 0.5000 0.0000 0.4418 [2 per cell]
Pt: 0.0000 0.0000 0.2862 [2 per cell]

* volume: 23.42 Å³/atom

Stability, descending: model two, model one

Model one:
Here is a relaxed PmPrNiRh crystal from Alexandria. Energies are from PBE.

Lattice parameters (Å, degrees): 7.0496 7.0496 7.0496 90.00 90.00 90.00
Space group F-43m (No. 216)
Unique sites:
Pm: 0.0000 0.0000 0.0000 [4 per cell]
Pr: 0.0000 0.0000 0.5000 [4 per cell]
Ni: 0.2500 0.2500 0.2500 [4 per cell]
Rh: 0.2500 0.2500 0.7500 [4 per cell]

* volume: 21.90 Å³/atom

Model two:
Here is a relaxed PmPrNiRh crystal from Alexandria. Energies are from PBE.

Lattice parameters (Å, degrees): 4.1783 3.9674 10.9613 90.00 90.00 90.00
Space group Amm2 (No. 38)
Unique sites:
Pm: 0.0000 0.0000 0.0000 [2 per cell]
Pr: 0.5000 0.0000 0.2790 [2 per cell]
Ni: 0.0000 0.0000 0.7142 [2 per cell]
Rh: 0.5000 0.0000 0.5587 [2 per cell]

* volume: 22.71 Å³/atom

Stability, descending: model two, model one

Model one:
Here is a relaxed Pm2Ni2Pt crystal from Alexandria. Energies are from PBE.

Lattice parameters (Å, degrees): 10.5445 4.1546 10.7908 90.00 117.50 90.00
Space group C2/m (No. 12)
Unique sites:
Pm: 0.0947 0.0000 0.3970 [4 per cell]
Pm: 0.1933 0.5000 0.1430 [4 per cell]
Ni: 0.0417 0.0000 0.9192 [4 per cell]
Ni: 0.1220 0.5000 0.6014 [4 per cell]
Pt: 0.0825 0.5000 0.8168 [4 per cell]

* volume: 20.97 Å³/atom

Model two:
Here is a relaxed Pm2Ni2Pt crystal from Alexandria. Energies are from PBE.

Lattice parameters (Å, degrees): 4.2000 5.7647 8.0741 90.00 90.00 90.00
Space group Immm (No. 71)
Unique sites:
Pm: 0.0000 0.0000 0.2146 [4 per cell]
Ni: 0.0000 0.2915 0.5000 [4 per cell]
Pt: 0.0000 0.5000 0.0000 [2 per cell]

* volume: 19.55 Å³/atom

Stability, descending: model two, model one

Model one:
Here is a relaxed PmNiPt4 crystal from Alexandria. Energies are from PBE.

Lattice parameters (Å, degrees): 7.5257 4.0822 6.8130 90.00 90.00 90.00
Space group Pmma (No. 51)
Unique sites:
Pm: 0.2500 0.0000 0.1331 [2 per cell]
Ni: 0.2500 0.0000 0.7348 [2 per cell]
Pt: 0.0000 0.0000 0.5000 [2 per cell]
Pt: 0.0533 0.5000 0.8090 [4 per cell]
Pt: 0.2500 0.5000 0.4644 [2 per cell]

* volume: 17.44 Å³/atom

Model two:
Here is a relaxed PmNiPt4 crystal from Alexandria. Energies are from PBE.

Lattice parameters (Å, degrees): 7.5596 7.5596 7.5596 90.00 90.00 90.00
Space group F-43m (No. 216)
Unique sites:
Pm: 0.0000 0.0000 0.0000 [4 per cell]
Ni: 0.2500 0.2500 0.2500 [4 per cell]
Pt: 0.1242 0.1242 0.6242 [16 per cell]

* volume: 18.00 Å³/atom

Stability, descending: model one, model two

Model one:
Here is a relaxed TbPmNiPt crystal from Alexandria. Energies are from PBE.

Lattice parameters (Å, degrees): 4.4082 3.8871 10.3848 90.00 90.00 90.00
Space group Amm2 (No. 38)
Unique sites:
Tb: 0.0000 0.0000 0.0000 [2 per cell]
Pm: 0.5000 0.0000 0.2797 [2 per cell]
Ni: 0.5000 0.0000 0.5580 [2 per cell]
Pt: 0.0000 0.0000 0.7141 [2 per cell]

* volume: 22.24 Å³/atom

Model two:
Here is a relaxed TbPmNiPt crystal from Alexandria. Energies are from PBE.

Lattice parameters (Å, degrees): 7.0027 7.0027 7.0027 90.00 90.00 90.00
Space group F-43m (No. 216)
Unique sites:
Tb: 0.0000 0.0000 0.0000 [4 per cell]
Pm: 0.0000 0.0000 0.5000 [4 per cell]
Ni: 0.2500 0.2500 0.2500 [4 per cell]
Pt: 0.2500 0.2500 0.7500 [4 per cell]

* volume: 21.46 Å³/atom

Stability, descending: model one, model two